# 1
## Sr2Ga4RhAu3 (PBE-GGA)

Data for an optimized crystal structure of Sr2Ga4RhAu3. Values from VASP.

VASP energy in eV/f.u.: -38.66
ΔE_f in meV/atom: -601
D(E_F) in states/eV/atom: 0.80
V in Å³ per cell: 214

The structure in Quantum ESPRESSO input format:
```
&SYSTEM
  ibrav = 0, nat = 10, ntyp = 4
/
ATOMIC_SPECIES
Sr 87.62 Sr.upf
Ga 69.72 Ga.upf
Rh 102.91 Rh.upf
Au 196.97 Au.upf
ATOMIC_POSITIONS crystal
Sr 0.000 0.500 0.246
Sr 0.500 0.000 0.754
Ga 0.000 0.000 0.500
Ga 0.000 0.500 0.879
Ga 0.500 0.000 0.121
Ga 0.500 0.500 0.500
Rh 0.500 0.500 0.000
Au 0.000 0.000 0.000
Au 0.000 0.500 0.639
Au 0.500 0.000 0.361
CELL_PARAMETERS angstrom
4.416 0.000 0.000
0.000 4.416 0.000
0.000 0.000 10.956
```

***

# 2
## Tb2Ga4Rh3Au (PBE-GGA)

Data for an optimized crystal structure of Tb2Ga4Rh3Au. Values from VASP.

VASP energy in eV/f.u.: -53.94
ΔE_f in meV/atom: -724
D(E_F) in states/eV/atom: 0.78
V in Å³ per cell: 185

The structure in Quantum ESPRESSO input format:
```
&SYSTEM
  ibrav = 0, nat = 10, ntyp = 4
/
ATOMIC_SPECIES
Tb 158.93 Tb.upf
Ga 69.72 Ga.upf
Rh 102.91 Rh.upf
Au 196.97 Au.upf
ATOMIC_POSITIONS crystal
Tb 0.000 0.500 0.238
Tb 0.500 0.000 0.762
Ga 0.000 0.000 0.000
Ga 0.000 0.500 0.640
Ga 0.500 0.000 0.360
Ga 0.500 0.500 0.000
Rh 0.000 0.500 0.863
Rh 0.500 0.000 0.137
Rh 0.500 0.500 0.500
Au 0.000 0.000 0.500
CELL_PARAMETERS angstrom
4.094 0.000 0.000
0.000 4.094 0.000
0.000 0.000 11.039
```

***

# 3
## Tb2Ga2Rh5Au (PBE-GGA)

Data for an optimized crystal structure of Tb2Ga2Rh5Au. Values from VASP.

VASP energy in eV/f.u.: -61.96
ΔE_f in meV/atom: -661
D(E_F) in states/eV/atom: 0.61
V in Å³ per cell: 346

The structure in Quantum ESPRESSO input format:
```
&SYSTEM
  ibrav = 0, nat = 20, ntyp = 4
/
ATOMIC_SPECIES
Tb 158.93 Tb.upf
Ga 69.72 Ga.upf
Rh 102.91 Rh.upf
Au 196.97 Au.upf
ATOMIC_POSITIONS crystal
Tb 0.176 0.324 0.000
Tb 0.324 0.824 0.000
Tb 0.676 0.176 0.000
Tb 0.824 0.676 0.000
Ga 0.123 0.623 0.000
Ga 0.377 0.123 0.000
Ga 0.623 0.877 0.000
Ga 0.877 0.377 0.000
Rh 0.000 0.500 0.500
Rh 0.068 0.792 0.500
Rh 0.208 0.068 0.500
Rh 0.292 0.568 0.500
Rh 0.432 0.292 0.500
Rh 0.500 0.000 0.500
Rh 0.568 0.708 0.500
Rh 0.708 0.432 0.500
Rh 0.792 0.932 0.500
Rh 0.932 0.208 0.500
Au 0.000 0.000 0.000
Au 0.500 0.500 0.000
CELL_PARAMETERS angstrom
9.730 0.000 0.000
0.000 9.730 0.000
0.000 0.000 3.653
```

***

# 4
## Th2Ga2Rh5Au (PBE-GGA)

Data for an optimized crystal structure of Th2Ga2Rh5Au. Values from VASP.

VASP energy in eV/f.u.: -67.92
ΔE_f in meV/atom: -699
D(E_F) in states/eV/atom: 0.57
V in Å³ per cell: 360

The structure in Quantum ESPRESSO input format:
```
&SYSTEM
  ibrav = 0, nat = 20, ntyp = 4
/
ATOMIC_SPECIES
Th 232.04 Th.upf
Ga 69.72 Ga.upf
Rh 102.91 Rh.upf
Au 196.97 Au.upf
ATOMIC_POSITIONS crystal
Th 0.181 0.319 0.000
Th 0.319 0.819 0.000
Th 0.681 0.181 0.000
Th 0.819 0.681 0.000
Ga 0.117 0.617 0.000
Ga 0.383 0.117 0.000
Ga 0.617 0.883 0.000
Ga 0.883 0.383 0.000
Rh 0.000 0.500 0.500
Rh 0.072 0.790 0.500
Rh 0.210 0.072 0.500
Rh 0.290 0.572 0.500
Rh 0.428 0.290 0.500
Rh 0.500 0.000 0.500
Rh 0.572 0.710 0.500
Rh 0.710 0.428 0.500
Rh 0.790 0.928 0.500
Rh 0.928 0.210 0.500
Au 0.000 0.000 0.000
Au 0.500 0.500 0.000
CELL_PARAMETERS angstrom
9.806 0.000 0.000
0.000 9.806 0.000
0.000 0.000 3.748
```

***

# 5
## ThGa3RhAu (PBE-GGA)

Data for an optimized crystal structure of ThGa3RhAu. Values from VASP.

VASP energy in eV/f.u.: -29.22
ΔE_f in meV/atom: -349
D(E_F) in states/eV/atom: 0.53
V in Å³ per cell: 237

The structure in Quantum ESPRESSO input format:
```
&SYSTEM
  ibrav = 0, nat = 12, ntyp = 4
/
ATOMIC_SPECIES
Th 232.04 Th.upf
Ga 69.72 Ga.upf
Rh 102.91 Rh.upf
Au 196.97 Au.upf
ATOMIC_POSITIONS crystal
Th 0.191 0.809 0.750
Th 0.809 0.191 0.250
Ga 0.218 0.218 0.000
Ga 0.218 0.218 0.500
Ga 0.336 0.664 0.250
Ga 0.664 0.336 0.750
Ga 0.782 0.782 0.000
Ga 0.782 0.782 0.500
Rh 0.158 0.842 0.250
Rh 0.842 0.158 0.750
Au 0.391 0.609 0.750
Au 0.609 0.391 0.250
CELL_PARAMETERS angstrom
2.996 -7.392 0.000
2.996 7.392 0.000
0.000 0.000 5.345
```

***

# 6
## ThGa2Rh2Au (PBE-GGA)

Data for an optimized crystal structure of ThGa2Rh2Au. Values from VASP.

VASP energy in eV/f.u.: -31.71
ΔE_f in meV/atom: -43
D(E_F) in states/eV/atom: 0.74
V in Å³ per cell: 125

The structure in Quantum ESPRESSO input format:
```
&SYSTEM
  ibrav = 0, nat = 6, ntyp = 4
/
ATOMIC_SPECIES
Th 232.04 Th.upf
Ga 69.72 Ga.upf
Rh 102.91 Rh.upf
Au 196.97 Au.upf
ATOMIC_POSITIONS crystal
Th 0.000 0.000 0.000
Ga 0.000 0.500 0.500
Ga 0.500 0.000 0.500
Rh 0.500 0.500 0.238
Rh 0.500 0.500 0.762
Au 0.000 0.000 0.500
CELL_PARAMETERS angstrom
4.667 0.000 0.000
0.000 4.667 0.000
0.000 0.000 5.734
```

***

# 7
## Th2Ga4Rh3Au (PBE-GGA)

Data for an optimized crystal structure of Th2Ga4Rh3Au. Values from VASP.

VASP energy in eV/f.u.: -59.58
ΔE_f in meV/atom: -731
D(E_F) in states/eV/atom: 0.80
V in Å³ per cell: 191

The structure in Quantum ESPRESSO input format:
```
&SYSTEM
  ibrav = 0, nat = 10, ntyp = 4
/
ATOMIC_SPECIES
Th 232.04 Th.upf
Ga 69.72 Ga.upf
Rh 102.91 Rh.upf
Au 196.97 Au.upf
ATOMIC_POSITIONS crystal
Th 0.000 0.500 0.236
Th 0.500 0.000 0.764
Ga 0.000 0.000 0.000
Ga 0.000 0.500 0.637
Ga 0.500 0.000 0.363
Ga 0.500 0.500 0.000
Rh 0.000 0.500 0.862
Rh 0.500 0.000 0.138
Rh 0.500 0.500 0.500
Au 0.000 0.000 0.500
CELL_PARAMETERS angstrom
4.177 0.000 0.000
0.000 4.177 0.000
0.000 0.000 10.962
```

***

# 8
## Th2GaRhAu (PBE-GGA)

Data for an optimized crystal structure of Th2GaRhAu. Values from VASP.

VASP energy in eV/f.u.: -32.14
ΔE_f in meV/atom: -728
D(E_F) in states/eV/atom: 0.74
V in Å³ per cell: 234

The structure in Quantum ESPRESSO input format:
```
&SYSTEM
  ibrav = 0, nat = 10, ntyp = 4
/
ATOMIC_SPECIES
Th 232.04 Th.upf
Ga 69.72 Ga.upf
Rh 102.91 Rh.upf
Au 196.97 Au.upf
ATOMIC_POSITIONS crystal
Th 0.031 0.250 0.210
Th 0.364 0.750 0.613
Th 0.636 0.250 0.387
Th 0.969 0.750 0.790
Ga 0.352 0.250 0.952
Ga 0.648 0.750 0.048
Rh 0.110 0.250 0.619
Rh 0.890 0.750 0.381
Au 0.320 0.750 0.176
Au 0.680 0.250 0.824
CELL_PARAMETERS angstrom
7.441 0.000 0.000
0.000 4.295 0.000
-2.776 0.000 7.308
```